This record from Alexandria via LeMat-Bulk describes CuAg2 after structural relaxation. The functional is GGA-PBEsol.

a = 3.861 Å, b = 5.567 Å, c = 8.334 Å
α = 90.00°, β = 90.00°, γ = 90.00°
Fractional positions:
Ag  0.750  0.364  0.079
Ag  0.750  0.388  0.744
Ag  0.250  0.612  0.256
Ag  0.250  0.112  0.244
Ag  0.250  0.136  0.579
Ag  0.250  0.636  0.921
Ag  0.750  0.888  0.756
Ag  0.750  0.864  0.421
Cu  0.250  0.124  0.919
Cu  0.250  0.624  0.581
Cu  0.750  0.876  0.081
Cu  0.750  0.376  0.419

- ΔH_f (0 K): 0.09 eV per atom
- Theoretical density: 10.36 g/cm³
- Space group: Pnma, No. 62

***

This record from Alexandria via LeMat-Bulk describes CuAg5 after structural relaxation. The functional is GGA-PBEsol.

a = 2.819 Å, b = 4.629 Å, c = 7.419 Å
α = 90.00°, β = 100.95°, γ = 90.00°
Fractional positions:
Ag  0.336  0.000  0.671
Ag  0.551  0.500  0.101
Ag  0.998  0.000  0.996
Ag  0.666  0.000  0.332
Ag  0.228  0.500  0.455
Cu  0.889  0.500  0.778

- ΔH_f (0 K): 0.06 eV per atom
- Theoretical density: 10.53 g/cm³
- Space group: Amm2, No. 38

***

This record from Alexandria via LeMat-Bulk describes CuAg2 after structural relaxation. The functional is GGA-PBEsol.

a = 2.784 Å, b = 4.886 Å, c = 7.186 Å
α = 73.86°, β = 78.83°, γ = 73.45°
Fractional positions:
Ag  0.163  0.263  0.411
Ag  0.837  0.737  0.589
Ag  0.495  0.791  0.220
Ag  0.505  0.209  0.780
Cu  0.815  0.287  0.084
Cu  0.185  0.713  0.916

- ΔH_f (0 K): 0.07 eV per atom
- Theoretical density: 10.39 g/cm³
- Space group: C2/m, No. 12

***

This record from Alexandria via LeMat-Bulk describes CuAg after structural relaxation. The functional is GGA-PBEsol.

a = 2.748 Å, b = 2.748 Å, c = 8.798 Å
α = 81.01°, β = 81.01°, γ = 60.00°
Fractional positions:
Cu  0.870  0.870  0.390
Cu  0.130  0.130  0.610
Ag  0.380  0.380  0.860
Ag  0.620  0.620  0.140

- ΔH_f (0 K): 0.11 eV per atom
- Theoretical density: 10.06 g/cm³
- Space group: R-3m, No. 166

***

> The highest ΔH_f (0 K) belongs to which entry?

CuAg

***

> Among the records above, which one has the highest theoretical density?

CuAg5